LuSeO3F: optimized geometry, GGA-PBEsol.

Calculated values
* space-group type: P2_1/c, No. 14
* energy above the most stable polymorph in this dataset: 7 meV/atom

Structure (POSCAR):
```
LuSeO3F
1.0
6.449 0.000 -0.025
0.000 6.728 0.000
-1.010 0.000 6.881
Lu Se O F
4 4 12 4
Cartesian
0.539 4.327 2.234
0.035 5.764 5.674
5.405 0.963 1.181
4.900 2.401 4.622
3.938 4.159 1.405
1.502 2.569 5.451
2.007 0.795 2.010
3.433 5.933 4.845
3.225 1.278 0.919
4.477 0.227 5.850
0.458 3.591 4.446
2.720 2.086 4.359
0.338 1.284 5.382
0.962 6.501 1.006
0.842 2.080 1.942
5.102 5.444 1.473
2.214 5.450 5.937
4.597 4.648 4.914
4.982 3.137 2.409
2.719 4.642 2.496
1.048 4.132 0.175
4.897 0.768 3.241
0.543 5.960 3.615
4.392 2.596 6.681
```

Rb3LuF6: optimized geometry, GGA-PBEsol.

Calculated values
* space-group type: Fm-3m, No. 225

Structure (POSCAR):
```
Rb3LuF6
1.0
-1.486 -1.725 6.229
3.962 -4.151 3.327
3.685 2.252 5.034
Lu Rb F
1 3 6
Cartesian
0.000 0.000 0.000
4.620 -2.718 10.942
1.540 -0.906 3.647
3.080 -1.812 7.295
3.569 -3.109 5.094
3.416 0.442 6.041
2.745 -4.065 8.548
5.612 -1.860 7.885
2.592 -0.515 9.495
0.548 -1.764 6.704
```

| no. | density of states at the Fermi level (states/eV/cell) | total energy (eV/f.u.) |
| --- | --- | --- |
| 1 | 0.0 | -41.10 |
| 2 | 0.0 | -52.76 |